Record 1
LaSm6Ho5 | PBE-GGA | optimized geometry Values from VASP.

Results
Spin magnetization, Bohr magnetons per cell: 0.0
E_form, eV/atom: 0.022
Space-group type: Immm, No. 71
Energy, eV/atom: -4.656

```
&SYSTEM
  ibrav = 0, nat = 12, ntyp = 3
/
ATOMIC_SPECIES
Ho 164.93 Ho.upf
Sm 150.36 Sm.upf
La 138.91 La.upf
CELL_PARAMETERS angstrom
4.8836 0.0174 -1.4241
-1.3980 8.9336 -4.6489
0.1198 -0.8306 9.4740
ATOMIC_POSITIONS crystal
Ho 0.6686 0.1684 0.3369
Ho 0.3328 0.3326 0.6652
Ho 0.0000 0.5000 0.0000
Ho 0.6672 0.6674 0.3348
Ho 0.3314 0.8316 0.6631
Sm 0.8333 0.5813 0.6666
Sm 0.8332 0.0853 0.6666
Sm 0.5000 0.7465 0.0000
Sm 0.5000 0.2535 0.0000
Sm 0.1668 0.9147 0.3334
Sm 0.1667 0.4187 0.3334
La 0.0000 0.0000 0.0000
```



Record 2
La3Sm4Ho8 | PBE-GGA | optimized geometry Values from VASP.

Results
Spin magnetization, Bohr magnetons per cell: 0.0
E_form, eV/atom: 0.366
Space-group type: C2/m, No. 12
Energy, eV/atom: -4.320

```
&SYSTEM
  ibrav = 0, nat = 15, ntyp = 3
/
ATOMIC_SPECIES
La 138.91 La.upf
Sm 150.36 Sm.upf
Ho 164.93 Ho.upf
CELL_PARAMETERS angstrom
6.7943 -0.0996 -0.1430
-3.2429 8.6794 1.1611
-3.2429 -1.9242 8.5427
ATOMIC_POSITIONS crystal
La 0.5000 0.5000 0.0000
La 0.5000 0.0000 0.5000
La 0.5000 0.5000 0.5000
Sm 0.5000 0.0000 0.0000
Sm 0.0000 0.5000 0.0000
Sm 0.0000 0.0000 0.0000
Sm 0.0000 0.0000 0.5000
Ho 0.5229 0.2652 0.2652
Ho 0.0000 0.6403 0.3597
Ho 0.0014 0.2663 0.2663
Ho 0.5000 0.7436 0.2564
Ho 0.5000 0.2564 0.7436
Ho 0.9986 0.7337 0.7337
Ho 0.0000 0.3597 0.6403
Ho 0.4771 0.7348 0.7348
```